Record 1
Computed, not measured: a relaxed TiAsSe crystal at the PBE-GGA level of DFT.

```
TiAsSe
1.0
1.0919 1.7757 -4.6872
-4.3800 -4.4422 -2.7032
-5.2945 3.4668 2.8817
Ti As Se
4 4 4
Direct
0.1182 0.9301 0.2363
0.3818 0.4301 0.7637
0.8818 0.0699 0.7637
0.6182 0.5699 0.2363
0.7071 0.7501 0.9140
0.7929 0.2501 0.0860
0.2929 0.2499 0.0860
0.2071 0.7499 0.9140
0.1963 0.5887 0.3924
0.3037 0.0887 0.6076
0.8037 0.4113 0.6076
0.6963 0.9113 0.3924
```


Record 2
Computed, not measured: a relaxed La2TmF11 crystal at the PBE-GGA level of DFT.

```
La2TmF11
1.0
7.8249 0.0000 4.0786
3.6302 7.6786 2.5808
0.3525 -0.1172 8.8691
La Tm F
4 2 22
Direct
0.6708 0.6922 0.3078
0.3292 0.3078 0.6922
0.8292 0.1922 0.8078
0.1708 0.8078 0.1922
0.7500 0.7500 0.7500
0.2500 0.2500 0.2500
0.6733 0.7052 0.5667
0.3267 0.2948 0.4333
0.0548 0.5667 0.7052
0.8267 0.9333 0.7948
0.9452 0.4333 0.2948
0.1733 0.0667 0.2052
0.4452 0.7948 0.9333
0.5548 0.2052 0.0667
0.5000 0.5000 0.5000
0.0000 0.0000 0.0000
0.8967 0.8165 0.1835
0.1033 0.1835 0.8165
0.6033 0.3165 0.6835
0.3967 0.6835 0.3165
0.4457 0.9835 0.3158
0.5543 0.0165 0.6842
0.2550 0.3158 0.9835
0.0543 0.1842 0.5165
0.7450 0.6842 0.0165
0.9457 0.8158 0.4835
0.2450 0.5165 0.1842
0.7550 0.4835 0.8158
```


| no. | formation energy without anion corrections (meV/atom) |
| --- | --- |
| 1 | -743 |
| 2 | -3461 |